Record 1
# CaPrTh2Se4 | Alexandria via LeMat-Bulk | PBE | optimized geometry
data_CaPrTh2Se4
_chemical_formula_sum 'Ca1 Pr1 Th2 Se4'
_symmetry_space_group_name_H-M 'P 1 2/m 1'
_symmetry_Int_Tables_number 10
_symmetry_space_group_name_Hall '-P 2y'
_cell_length_a 7.182
_cell_length_b 4.131
_cell_length_c 7.519
_cell_angle_alpha 90.00
_cell_angle_beta 108.43
_cell_angle_gamma 90.00
loop_
_atom_site_label
_atom_site_type_symbol
_atom_site_fract_x
_atom_site_fract_y
_atom_site_fract_z
Ca1 Ca 0.000 0.000 0.000
Pr1 Pr 0.500 0.500 0.000
Th1 Th 0.000 0.500 0.500
Th2 Th 0.500 0.000 0.500
Se1 Se 0.241 0.500 0.243
Se2 Se 0.244 0.000 0.753
# - mass density (g/cm3) = 7.54
# - DFT total energy (eV/atom) = -6.1320

=====

Record 2
# CaAcMgAg | Alexandria via LeMat-Bulk | PBE | optimized geometry
data_CaAcMgAg
_chemical_formula_sum 'Ca1 Ac1 Mg1 Ag1'
_symmetry_space_group_name_H-M 'P 4 m m'
_symmetry_Int_Tables_number 99
_symmetry_space_group_name_Hall 'P 4 -2'
_cell_length_a 3.931
_cell_length_b 3.931
_cell_length_c 7.884
_cell_angle_alpha 90.00
_cell_angle_beta 90.00
_cell_angle_gamma 90.00
loop_
_atom_site_label
_atom_site_type_symbol
_atom_site_fract_x
_atom_site_fract_y
_atom_site_fract_z
Ca1 Ca 0.000 0.000 0.000
Ac1 Ac 0.000 0.000 0.469
Mg1 Mg 0.500 0.500 0.754
Ag1 Ag 0.500 0.500 0.213
# - polymorph energy (0 for the lowest one) (meV/atom) = 0
# - mass density (g/cm3) = 5.44
# - calculated formation energy (eV per atom) = -0.1772

=====

Record 3
# RbBaNa | Alexandria via LeMat-Bulk | PBE | optimized geometry
data_RbBaNa
_chemical_formula_sum 'Rb2 Ba2 Na2'
_symmetry_space_group_name_H-M 'P 4/n m m'
_symmetry_Int_Tables_number 129
_cell_length_a 4.613
_cell_length_b 4.613
_cell_length_c 17.800
_cell_angle_alpha 90.00
_cell_angle_beta 90.00
_cell_angle_gamma 90.00
loop_
_symmetry_equiv_pos_as_xyz
'x,y,z'
'-x,-y,-z'
'-y+1/2,x,z'
'y+1/2,-x,-z'
'-x+1/2,-y+1/2,z'
'x+1/2,y+1/2,-z'
'y,-x+1/2,z'
'-y,x+1/2,-z'
'x+1/2,-y,-z'
'-x+1/2,y,z'
'-y,-x,-z'
'y,x,z'
'-x,y+1/2,-z'
'x,-y+1/2,z'
'y+1/2,x+1/2,-z'
'-y+1/2,-x+1/2,z'
loop_
_atom_site_label
_atom_site_type_symbol
_atom_site_fract_x
_atom_site_fract_y
_atom_site_fract_z
Rb1 Rb 0.250 0.250 0.113
Ba1 Ba 0.250 0.250 0.409
Na1 Na 0.250 0.250 0.729
# - polymorph energy (0 for the lowest one) (meV/atom) = 0
# - mass density (g/cm3) = 2.16
# - calculated formation energy (eV per atom) = 0.0276

=====

Record 4
# Th3Se5 | Alexandria via LeMat-Bulk | PBE | optimized geometry
data_Th3Se5
_chemical_formula_sum 'Th12 Se20'
_symmetry_space_group_name_H-M 'C 1 2/m 1'
_symmetry_Int_Tables_number 12
_symmetry_space_group_name_Hall '-C 2y'
_cell_length_a 6.959
_cell_length_b 15.851
_cell_length_c 7.989
_cell_angle_alpha 90.00
_cell_angle_beta 104.32
_cell_angle_gamma 90.00
loop_
_atom_site_label
_atom_site_type_symbol
_atom_site_fract_x
_atom_site_fract_y
_atom_site_fract_z
Th1 Th 0.000 0.157 0.000
Th2 Th 0.000 0.246 0.500
Th3 Th 0.060 0.500 0.297
Se1 Se 0.173 0.313 0.200
Se2 Se 0.229 0.106 0.375
Se3 Se 0.231 0.000 0.978
# - polymorph energy (0 for the lowest one) (meV/atom) = 0
# - mass density (g/cm3) = 8.49

=====

Record 5
# LiPaIn2S4 | Alexandria via LeMat-Bulk | PBE | optimized geometry
data_LiPaIn2S4
_chemical_formula_sum 'Li1 Pa1 In2 S4'
_symmetry_space_group_name_H-M 'P 1 2/m 1'
_symmetry_Int_Tables_number 10
_symmetry_space_group_name_Hall '-P 2y'
_cell_length_a 6.531
_cell_length_b 4.067
_cell_length_c 7.773
_cell_angle_alpha 90.00
_cell_angle_beta 106.60
_cell_angle_gamma 90.00
loop_
_atom_site_label
_atom_site_type_symbol
_atom_site_fract_x
_atom_site_fract_y
_atom_site_fract_z
Li1 Li 0.000 0.000 0.000
Pa1 Pa 0.500 0.500 0.000
In1 In 0.000 0.500 0.500
In2 In 0.500 0.000 0.500
S1 S 0.255 0.500 0.204
S2 S 0.272 0.000 0.805
# - mass density (g/cm3) = 5.00
# - DFT total energy (eV/atom) = -5.1968

=====

Record 6
# Ta2CoTc | Alexandria via LeMat-Bulk | PBE | optimized geometry
data_Ta2CoTc
_chemical_formula_sum 'Ta2 Co1 Tc1'
_symmetry_space_group_name_H-M 'P m m m'
_symmetry_Int_Tables_number 47
_symmetry_space_group_name_Hall '-P 2 2'
_cell_length_a 3.378
_cell_length_b 4.032
_cell_length_c 4.533
_cell_angle_alpha 90.00
_cell_angle_beta 90.00
_cell_angle_gamma 90.00
loop_
_atom_site_label
_atom_site_type_symbol
_atom_site_fract_x
_atom_site_fract_y
_atom_site_fract_z
Ta1 Ta 0.000 0.000 0.000
Ta2 Ta 0.500 0.000 0.500
Co1 Co 0.000 0.500 0.500
Tc1 Tc 0.500 0.500 0.000
# - polymorph energy (0 for the lowest one) (meV/atom) = 242
# - mass density (g/cm3) = 13.96
# - calculated formation energy (eV per atom) = -0.0363